DFT (GGA-PBE) results for GeRu after structural relaxation.

Properties
E_form: 0.183 eV per atom
Fermi-level density of states: 2.32 states/eV/cell
M_tot: 0.0 μB/cell
volume: 127.09 Å³/cell

Cell: 5.0278 5.0278 5.0278 Å, 90.00 90.00 90.00°
Closest atoms and distances in Å follow each position.
Fractional coordinates of all 8 atoms:
Ru 0.0000 0.5000 0.0000  6 Ge 2.51
Ru 0.5000 0.5000 0.5000  6 Ge 2.51
Ge 0.0000 0.5000 0.5000  6 Ru 2.51
Ru 0.5000 0.0000 0.0000  6 Ge 2.51
Ru 0.0000 0.0000 0.5000  6 Ge 2.51
Ge 0.0000 0.0000 0.0000  6 Ru 2.51
Ge 0.5000 0.0000 0.5000  6 Ru 2.51
Ge 0.5000 0.5000 0.0000  6 Ru 2.51